(1)
The following is a DFT calculation (GGA-PBE) of Tm4Hg after structural relaxation.

Calculated values
Space-group type: No. 88

Lattice parameters (Å, degrees): 6.364 6.364 8.609 111.69 111.69 90.00
Atoms (fractional coordinates):
Tm 0.028 0.919 0.341
Tm 0.172 0.278 0.841
Tm 0.722 0.331 0.159
Tm 0.081 0.687 0.659
Tm 0.669 0.563 0.841
Tm 0.437 0.828 0.159
Tm 0.578 0.972 0.659
Tm 0.313 0.422 0.341
Hg 0.750 0.250 0.500
Hg 0.000 0.000 0.000



(2)
The following is a DFT calculation (GGA-PBE) of TmHg7 after structural relaxation.

Calculated values
Space-group type: No. 139

Lattice parameters (Å, degrees): 4.534 4.534 10.098 102.97 102.97 90.00
Atoms (fractional coordinates):
Tm 0.000 0.000 0.000
Hg 0.878 0.378 0.755
Hg 0.749 0.749 0.498
Hg 0.622 0.122 0.245
Hg 0.500 0.500 0.000
Hg 0.378 0.878 0.755
Hg 0.251 0.251 0.502
Hg 0.122 0.622 0.245



(3)
The following is a DFT calculation (GGA-PBE) of TmHg5 after structural relaxation.

Calculated values
Space-group type: No. 65

Lattice parameters (Å, degrees): 4.806 4.406 7.197 107.83 90.00 90.00
Atoms (fractional coordinates):
Tm 0.000 0.000 0.000
Hg 0.500 0.837 0.675
Hg 0.000 0.667 0.333
Hg 0.500 0.500 0.000
Hg 0.000 0.333 0.667
Hg 0.500 0.163 0.325



(4)
The following is a DFT calculation (GGA-PBE) of TmHg7 after structural relaxation.

Calculated values
Space-group type: No. 225

Lattice parameters (Å, degrees): 6.594 6.594 6.594 60.00 60.00 60.00
Atoms (fractional coordinates):
Tm 0.000 0.000 0.000
Hg 0.500 0.500 0.000
Hg 0.500 0.000 0.500
Hg 0.000 0.500 0.500
Hg 0.500 0.000 0.000
Hg 0.000 0.500 0.000
Hg 0.000 0.000 0.500
Hg 0.500 0.500 0.500



(5)
The following is a DFT calculation (GGA-PBE) of TmHg after structural relaxation.

Calculated values
Space-group type: No. 221

Lattice parameters (Å, degrees): 3.677 3.677 3.671 90.00 90.00 90.00
Atoms (fractional coordinates):
Tm 0.500 0.500 0.500
Hg 0.000 0.000 0.000



(6)
The following is a DFT calculation (GGA-PBE) of TmHg3 after structural relaxation.

Calculated values
Space-group type: No. 71

Lattice parameters (Å, degrees): 4.325 4.885 5.595 115.88 112.73 90.00
Atoms (fractional coordinates):
Tm 0.000 0.917 0.000
Hg 0.247 0.663 0.493
Hg 0.500 0.417 0.000
Hg 0.753 0.170 0.507



(7)
The following is a DFT calculation (GGA-PBE) of TmHg3 after structural relaxation.

Calculated values
Space-group type: No. 59

Lattice parameters (Å, degrees): 5.106 5.537 6.679 90.00 90.00 90.00
Atoms (fractional coordinates):
Tm 0.000 0.669 0.000
Tm 0.500 0.331 0.500
Hg 0.500 0.329 0.000
Hg 0.000 0.174 0.749
Hg 0.500 0.826 0.751
Hg 0.000 0.671 0.500
Hg 0.000 0.174 0.251
Hg 0.500 0.826 0.249



(8)
The following is a DFT calculation (GGA-PBE) of Tm2Hg7 after structural relaxation.

Calculated values
Space-group type: No. 164

Lattice parameters (Å, degrees): 5.116 5.116 9.425 90.00 90.00 120.00
Atoms (fractional coordinates):
Tm 0.333 0.667 0.770
Tm 0.667 0.333 0.230
Hg 0.333 0.667 0.104
Hg 0.667 0.333 0.896
Hg 0.333 0.667 0.431
Hg 0.667 0.333 0.569
Hg 0.000 0.000 0.334
Hg 0.000 0.000 0.666
Hg 0.000 0.000 0.000



(9)
The following is a DFT calculation (GGA-PBE) of TmHg6 after structural relaxation.

Calculated values
Space-group type: No. 229

Lattice parameters (Å, degrees): 6.912 6.912 6.912 109.47 109.47 109.47
Atoms (fractional coordinates):
Tm 0.000 0.000 0.000
Hg 0.250 0.750 0.500
Hg 0.500 0.750 0.250
Hg 0.250 0.500 0.750
Hg 0.750 0.250 0.500
Hg 0.500 0.250 0.750
Hg 0.750 0.500 0.250



(10)
The following is a DFT calculation (GGA-PBE) of TmUHg after structural relaxation.

Calculated values
Space-group type: No. 63

Lattice parameters (Å, degrees): 4.748 3.186 9.591 80.44 90.00 90.00
Atoms (fractional coordinates):
Tm 0.250 0.129 0.741
Tm 0.750 0.871 0.259
U 0.250 0.473 0.054
U 0.750 0.527 0.946
Hg 0.750 0.703 0.595
Hg 0.250 0.297 0.405



(11)
The following is a DFT calculation (GGA-PBE) of Y2TmHg after structural relaxation.

Calculated values
Space-group type: No. 160

Lattice parameters (Å, degrees): 3.646 3.646 10.619 80.12 80.12 60.02
Last column: magnetic moment on the atom in μB.
Atoms (fractional coordinates):
Y 0.077 0.077 0.770  0.13
Y 0.257 0.257 0.229  0.04
Tm 0.500 0.500 0.500  0.29
Hg 0.666 0.666 0.001  0.00



(12)
The following is a DFT calculation (GGA-PBE) of Y2TmHg3 after structural relaxation.

Calculated values
Space-group type: No. 123

Lattice parameters (Å, degrees): 3.713 3.713 11.118 90.00 90.00 90.00
Atoms (fractional coordinates):
Y 0.500 0.500 0.832
Y 0.500 0.500 0.168
Tm 0.500 0.500 0.500
Hg 0.000 0.000 0.000
Hg 0.000 0.000 0.661
Hg 0.000 0.000 0.339



Number 1: M_tot 0.0 μB per cell, E_tot -18.52 eV/f.u.. Number 2: M_tot 0.0 μB per cell, E_tot -7.53 eV/f.u.. Number 3: M_tot 0.0 μB per cell, E_tot -7.08 eV/f.u.. Number 4: M_tot 0.0 μB per cell, E_tot -7.35 eV/f.u.. Number 5: M_tot 0.0 μB per cell, E_tot -5.73 eV/f.u.. Number 6: M_tot 0.0 μB per cell, E_tot -6.39 eV/f.u.. Number 7: M_tot 0.0 μB per cell, E_tot -6.48 eV/f.u.. Number 8: M_tot 0.0 μB per cell, E_tot -13.04 eV/f.u.. Number 9: M_tot 0.0 μB per cell, E_tot -2.94 eV/f.u.. Number 10: M_tot 0.0 μB per cell, E_tot -16.06 eV/f.u.. Number 11: M_tot 0.7 μB per cell, E_tot -18.38 eV/f.u.. Number 12: M_tot 0.0 μB per cell, E_tot -21.30 eV/f.u..